Here is Tm3Mn2Ga9 after structural relaxation from Alexandria via LeMat-Bulk. Energies are from PBE.

Computed properties:
**Energy relative to the elements**: -441 meV per atom

```
data_Tm3Mn2Ga9
_space_group_name_H-M_alt 'I m m m'
_space_group_IT_number 71
_space_group_name_Hall '-I 2 2'
_cell_length_a 4.1918
_cell_length_b 9.4264
_cell_length_c 12.5318
_cell_angle_alpha 90.00
_cell_angle_beta 90.00
_cell_angle_gamma 90.00
loop_
_atom_site_label
_atom_site_fract_x
_atom_site_fract_y
_atom_site_fract_z
Tm1 0.0000 0.0000 0.0000
Tm2 0.0000 0.0000 0.2984
Mn1 0.0000 0.1730 0.5000
Ga1 0.0000 0.2854 0.1352
Ga2 0.0000 0.3639 0.3484
Ga3 0.0000 0.5000 0.0000
```